Entry 1:
This record from Alexandria via LeMat-Bulk describes a geometry-optimized SrHfSc2Br structure. The functional is GGA-PBE.

Values from the calculation:
E above lowest polymorph (eV per atom): 0.000
DOS(E_F) (states/eV per atom): 1.379
Raw total energy (eV for the cell shown): -25.122

abc: 5.186 5.186 5.192
angles: 90.00 90.00 90.00
Space group P4/mmm (No. 123)
One atom of each set of equivalent atoms:
Sr 0.000 0.000 0.000 x1
Hf 0.500 0.500 0.000 x1
Sc 0.000 0.500 0.500 x2
Br 0.500 0.500 0.500 x1

Entry 2:
This record from Alexandria via LeMat-Bulk describes a geometry-optimized SrHfSc2Br structure. The functional is GGA-PBE.

Values from the calculation:
E above lowest polymorph (eV per atom): 0.271
DOS(E_F) (states/eV per atom): 1.578
Raw total energy (eV for the cell shown): -23.766

abc: 5.496 5.496 5.408
angles: 90.00 90.00 90.00
Space group P4/mmm (No. 123)
One atom of each set of equivalent atoms:
Sr 0.000 0.000 0.000 x1
Hf 0.500 0.500 0.500 x1
Sc 0.000 0.500 0.500 x2
Br 0.500 0.500 0.000 x1

Entry 3:
This record from Alexandria via LeMat-Bulk describes a geometry-optimized HfScTe2Br structure. The functional is GGA-PBE.

Values from the calculation:
DOS(E_F) (states/eV per atom): 1.066
Raw total energy (eV for the cell shown): -24.744

abc: 5.613 5.613 4.912
angles: 90.00 90.00 90.00
Space group P4/mmm (No. 123)
One atom of each set of equivalent atoms:
Hf 0.000 0.000 0.000 x1
Sc 0.500 0.500 0.500 x1
Te 0.000 0.500 0.500 x2
Br 0.500 0.500 0.000 x1

Entry 4:
This record from Alexandria via LeMat-Bulk describes a geometry-optimized HfSc2TlBr structure. The functional is GGA-PBE.

Values from the calculation:
DOS(E_F) (states/eV per atom): 1.221
Raw total energy (eV for the cell shown): -25.870

abc: 4.963 4.963 4.983
angles: 90.00 90.00 90.00
Space group P4/mmm (No. 123)
One atom of each set of equivalent atoms:
Hf 0.000 0.000 0.000 x1
Sc 0.000 0.500 0.500 x2
Tl 0.500 0.500 0.000 x1
Br 0.000 0.000 0.500 x1

Entry 5:
This record from Alexandria via LeMat-Bulk describes a geometry-optimized Hf2ScZnBr structure. The functional is GGA-PBE.

Values from the calculation:
DOS(E_F) (states/eV per atom): 0.810
Raw total energy (eV for the cell shown): -26.615

abc: 4.919 4.919 4.875
angles: 90.00 90.00 90.00
Space group P4/mmm (No. 123)
One atom of each set of equivalent atoms:
Hf 0.000 0.500 0.000 x2
Sc 0.000 0.000 0.500 x1
Zn 0.500 0.500 0.500 x1
Br 0.000 0.000 0.000 x1

Entry 6:
This record from Alexandria via LeMat-Bulk describes a geometry-optimized HfSeBr3 structure. The functional is GGA-PBE.

Values from the calculation:
DOS(E_F) (states/eV per atom): 1.239
Raw total energy (eV for the cell shown): -20.306

abc: 5.265 5.265 5.265
angles: 90.00 90.00 90.00
Space group Pm-3m (No. 221)
One atom of each set of equivalent atoms:
Hf 0.000 0.000 0.000 x1
Se 0.500 0.500 0.500 x1
Br 0.000 0.000 0.500 x3

| no. | magnetization (μB/f.u.) | uncorrected formation energy (eV per atom) |
| --- | --- | --- |
| 1 | 0.00 | 0.17 |
| 2 | 0.94 | 0.44 |
| 3 | 1.66 | -0.10 |
| 4 | 0.00 | 0.16 |
| 5 | 0.00 | 0.51 |
| 6 | 1.52 | -0.37 |